Record 1
Below is CaCr2O4 after structural relaxation, with properties calculated at the PBE with a Hubbard U level.

Lattice parameters (Å, degrees): 3.041 5.185 10.081 90.00 90.00 107.06
Site moments in Bohr magnetons follow the coordinates.
Fractional positions:
Ca 0.389 0.778 0.750  0.01
Ca 0.611 0.222 0.250  0.01
Cr 0.135 0.271 0.931  2.99
Cr 0.865 0.729 0.431  2.99
Cr 0.865 0.729 0.069  2.99
Cr 0.135 0.271 0.569  2.99
O 0.944 0.888 0.250  0.00
O 0.056 0.112 0.750  0.00
O 0.500 0.000 0.000  0.00
O 0.500 0.000 0.500  0.00
O 0.235 0.471 0.393  -0.06
O 0.765 0.529 0.607  -0.06
O 0.765 0.529 0.893  -0.06
O 0.235 0.471 0.107  -0.06

Results
DOS(E_F) ... 0.000 states/eV/atom
Polymorph energy (0 for the lowest one) ... 53.9 meV per atom
VASP energy ... -7.52 eV per atom
Total moment ... 12.00 Bohr magnetons per cell

Record 2
Below is CaCr2O4 after structural relaxation, with properties calculated at the PBE with a Hubbard U level.

Lattice parameters (Å, degrees): 5.189 5.981 11.111 90.00 90.00 90.00
Site moments in Bohr magnetons follow the coordinates.
Fractional positions:
Ca 0.855 0.250 0.750  0.00
Ca 0.145 0.750 0.250  0.00
Ca 0.536 0.250 0.250  0.01
Ca 0.464 0.750 0.750  0.01
Cr 0.506 0.750 0.010  3.00
Cr 0.494 0.250 0.990  3.00
Cr 0.000 0.500 0.500  3.01
Cr 0.000 0.000 0.500  3.01
Cr 0.506 0.750 0.490  3.00
Cr 0.494 0.250 0.510  3.00
Cr 0.000 0.000 0.000  3.01
Cr 0.000 0.500 0.000  3.01
O 0.843 0.750 0.403  -0.03
O 0.844 0.750 0.097  -0.03
O 0.156 0.250 0.597  -0.03
O 0.157 0.250 0.903  -0.03
O 0.181 0.750 0.589  -0.04
O 0.181 0.750 0.911  -0.04
O 0.819 0.250 0.411  -0.04
O 0.819 0.250 0.089  -0.04
O 0.665 0.504 0.601  -0.04
O 0.665 0.996 0.899  -0.04
O 0.335 0.004 0.399  -0.04
O 0.335 0.496 0.101  -0.04
O 0.335 0.497 0.399  -0.04
O 0.335 0.003 0.101  -0.04
O 0.665 0.997 0.601  -0.04
O 0.665 0.503 0.899  -0.04

Results
DOS(E_F) ... 0.000 states/eV/atom
Polymorph energy (0 for the lowest one) ... 0.1 meV per atom
VASP energy ... -7.58 eV per atom
Total moment ... 24.00 Bohr magnetons per cell